{"formula": "LiLaAg2I6", "functional": "PBE", "state": "optimized geometry", "lattice": [[3.903, 2.254, 7.314], [-3.903, 2.254, 7.314], [0.000, -4.507, 7.314]], "species": ["Li", "La", "Ag", "Ag", "I", "I", "I", "I", "I", "I"], "frac_coords": [[0.000, 0.000, 0.000], [0.500, 0.500, 0.500], [0.248, 0.248, 0.248], [0.752, 0.752, 0.752], [0.099, 0.757, 0.387], [0.243, 0.613, 0.901], [0.387, 0.099, 0.757], [0.613, 0.901, 0.243], [0.757, 0.387, 0.099], [0.901, 0.243, 0.613]], "magnetic_moment_mub_per_cell": 0.00, "total_energy_ev_per_atom": -3.08, "dos_ef_per_ev_cell": 0.0}